First-principles (PBE-GGA) data for crystalline LiSm3Er2Te6 at its relaxed geometry, as listed in the Alexandria database.

Results
Magnetization = 0.00 μB/atom
Calculated density = 7.302 g/cm³
Density of states at the Fermi level = 4.5 states/eV per cell
ΔE_f (raw) = -1.32 eV/atom
Uncorrected energy = -4.99 eV/atom

Lattice parameters (Å, degrees): 9.7913 9.7913 8.7630 103.43 103.43 25.74
Element x y z (fractional)
Li 0.0000 0.0000 0.0000
Sm 0.0000 0.0000 0.5000
Sm 0.3330 0.3330 0.1698
Sm 0.6670 0.6670 0.8302
Er 0.3335 0.3335 0.6636
Er 0.6665 0.6665 0.3364
Te 0.1611 0.1611 0.0869
Te 0.1685 0.1685 0.5780
Te 0.4977 0.4977 0.7627
Te 0.5023 0.5023 0.2373
Te 0.8315 0.8315 0.4220
Te 0.8389 0.8389 0.9131

First-principles (PBE-GGA) data for crystalline SrHfCdSn2 at its relaxed geometry, as listed in the Alexandria database.

Results
Magnetization = 0.20 μB/atom
Calculated density = 6.148 g/cm³
Density of states at the Fermi level = 4.8 states/eV per cell
Uncorrected energy = -3.58 eV/atom
ΔE_f = 0.53 eV per atom

Lattice parameters (Å, degrees): 5.5260 5.5260 5.4480 90.00 90.00 90.00
Element x y z (fractional)
Sr 0.0000 0.0000 0.0000
Hf 0.5000 0.5000 0.0000
Cd 0.5000 0.5000 0.5000
Sn 0.0000 0.5000 0.5000
Sn 0.5000 0.0000 0.5000